LaNd2DyS4 | PBE-GGA | optimized geometry

raw formation energy	-2.05	eV per atom
final energy	-0.239	hartree per atom

Cell: 7.0200 4.0171 7.0622 Å, 90.00 109.06 90.00°
Last column: nearest neighbours and their distance in Å.
Space group P2/m (No. 10)
Inequivalent atoms, fractional coordinates:
La  0.0000  0.0000  0.0000  6 S 2.89
Nd  0.5000  0.0000  0.5000  6 S 2.85
Nd  0.5000  0.5000  0.0000  6 S 2.93
Dy  0.0000  0.5000  0.5000  6 S 2.80
S  0.2403  0.0000  0.7374  2 Dy 2.80, 3 Nd 2.85-2.93, 1 La 2.89
S  0.2476  0.5000  0.2589  1 Dy 2.80, 3 Nd 2.85-2.93, 2 La 2.89